Record 1
Below is a relaxed CdRhSeN2 crystal, with properties calculated at the PBE level.

Cell: 3.854 3.854 5.607 Å, 90.00 90.00 90.00°
Fractional positions:
1 Cd 0.000 0.000 0.000
2 Rh 0.500 0.500 0.500
3 Se 0.500 0.500 0.000
4 N 0.000 0.500 0.500
5 N 0.500 0.000 0.500

SG = P4/mmm, No. 123
ΔE to the lowest computed polymorph = 0.0 meV/atom

=====

Record 2
Below is a relaxed CdRhSeN2 crystal, with properties calculated at the PBE level.

Cell: 4.085 4.085 5.921 Å, 90.00 90.00 90.00°
Fractional positions:
1 Cd 0.000 0.000 0.000
2 Rh 0.500 0.500 0.500
3 Se 0.000 0.000 0.500
4 N 0.000 0.500 0.000
5 N 0.500 0.000 0.000

SG = P4/mmm, No. 123
ΔE to the lowest computed polymorph = 1184.8 meV/atom

=====

Record 3
Below is a relaxed CdRhSe2N crystal, with properties calculated at the PBE level.

Cell: 5.223 5.223 4.026 Å, 90.00 90.00 90.00°
Fractional positions:
1 Cd 0.000 0.000 0.000
2 Rh 0.500 0.500 0.500
3 Se 0.000 0.500 0.000
4 Se 0.500 0.000 0.000
5 N 0.000 0.000 0.500

SG = P4/mmm, No. 123
ΔE to the lowest computed polymorph = 1190.8 meV/atom

=====

Record 4
Below is a relaxed Sr2CdRhN crystal, with properties calculated at the PBE level.

Cell: 5.502 5.502 3.865 Å, 90.00 90.00 90.00°
Fractional positions:
1 Sr 0.000 0.500 0.000
2 Sr 0.500 0.000 0.000
3 Cd 0.000 0.000 0.500
4 Rh 0.500 0.500 0.500
5 N 0.500 0.500 0.000

SG = P4/mmm, No. 123

=====

Record 5
Below is a relaxed CdRuN3 crystal, with properties calculated at the PBE level.

Cell: 4.026 4.026 4.026 Å, 90.00 90.00 90.00°
Fractional positions:
1 Cd 0.000 0.000 0.000
2 Ru 0.500 0.500 0.500
3 N 0.000 0.000 0.500
4 N 0.000 0.500 0.000
5 N 0.500 0.000 0.000

SG = Pm-3m, No. 221

=====

Record 6
Below is a relaxed CdRuN3 crystal, with properties calculated at the PBE level.

Cell: 3.900 3.900 3.900 Å, 90.00 90.00 90.00°
Fractional positions:
1 Cd 0.000 0.000 0.000
2 Ru 0.500 0.500 0.500
3 N 0.000 0.500 0.500
4 N 0.500 0.000 0.500
5 N 0.500 0.500 0.000

SG = Pm-3m, No. 221

=====

Record 7
Below is a relaxed Cd3RuN crystal, with properties calculated at the PBE level.

Cell: 5.265 5.265 5.265 Å, 90.00 90.00 90.00°
Fractional positions:
1 Cd 0.000 0.000 0.500
2 Cd 0.000 0.500 0.000
3 Cd 0.500 0.000 0.000
4 Ru 0.000 0.000 0.000
5 N 0.500 0.500 0.500

SG = Pm-3m, No. 221
ΔE to the lowest computed polymorph = 638.2 meV/atom

=====

Record 8
Below is a relaxed Cd2RuN2 crystal, with properties calculated at the PBE level.

Cell: 8.433 8.433 8.433 Å, 160.07 160.07 28.33°
Fractional positions:
1 Cd 0.125 0.125 0.000
2 Cd 0.875 0.875 0.000
3 Ru 0.500 0.500 0.000
4 N 0.250 0.750 0.500
5 N 0.750 0.250 0.500

SG = I4/mmm, No. 139
ΔE to the lowest computed polymorph = 0.0 meV/atom

=====

Calculated total moment in order - 0.19, 5.05, 1.57, 0.00, 0.00, 0.00, 3.48, 1.40 Bohr magnetons per cell
Calculated formation energy (no corrections) in order - 0.85, 2.03, 1.47, -0.46, 2.91, 1.22, 1.53, 1.45 eV per atom